[1]
A relaxed structure of ZrTiBr2F. Source: the Alexandria database, functional PBE.

Summary:
DOS at the Fermi energy = 4.30 states/eV/cell
space-group type = P4/mmm
uncorrected energy = -25.58 eV per formula unit

Cell lengths 5.385, 5.385, 3.866 Å; angles 90.00, 90.00, 90.00 degrees
Element x y z (fractional)
Zr1 0.000 0.000 0.000
Ti1 0.500 0.500 0.500
Br1 0.000 0.500 0.500
Br2 0.500 0.000 0.500
F1 0.500 0.500 0.000

[2]
A relaxed structure of KGdI2. Source: the Alexandria database, functional PBE.

Summary:
DOS at the Fermi energy = 5.85 states/eV/cell
space-group type = R-3m
uncorrected energy = -22.01 eV per formula unit

Cell lengths 11.803, 11.803, 11.803 Å; angles 20.63, 20.63, 20.63 degrees
Element x y z (fractional)
K1 0.000 0.000 0.000
Gd1 0.500 0.500 0.500
I1 0.109 0.109 0.109
I2 0.891 0.891 0.891

[3]
A relaxed structure of ReBAu2O. Source: the Alexandria database, functional PBE.

Summary:
DOS at the Fermi energy = 2.09 states/eV/cell
space-group type = P4/mmm
uncorrected energy = -28.71 eV per formula unit

Cell lengths 5.350, 5.350, 2.615 Å; angles 90.00, 90.00, 90.00 degrees
Element x y z (fractional)
Re1 0.000 0.000 0.000
B1 0.500 0.500 0.000
Au1 0.000 0.500 0.500
Au2 0.500 0.000 0.500
O1 0.500 0.500 0.500

[4]
A relaxed structure of TaRhCl2. Source: the Alexandria database, functional PBE.

Summary:
energy relative to the lowest polymorph listed for this composition = 0.321 eV/atom
DOS at the Fermi energy = 2.75 states/eV/cell
space-group type = C2/m

Cell lengths 6.853, 6.853, 4.451 Å; angles 95.99, 95.99, 26.06 degrees
Element x y z (fractional)
Ta1 0.000 0.000 0.000
Rh1 0.500 0.500 0.500
Cl1 0.357 0.357 0.790
Cl2 0.643 0.643 0.210

[5]
A relaxed structure of NaAlPb. Source: the Alexandria database, functional PBE.

Summary:
DOS at the Fermi energy = 1.08 states/eV/cell
space-group type = R-3m
uncorrected energy = -8.60 eV per formula unit

Cell lengths 8.657, 8.657, 8.657 Å; angles 32.15, 32.15, 32.15 degrees
Element x y z (fractional)
Na1 0.067 0.067 0.067
Na2 0.933 0.933 0.933
Al1 0.325 0.325 0.325
Al2 0.675 0.675 0.675
Pb1 0.197 0.197 0.197
Pb2 0.803 0.803 0.803

[6]
A relaxed structure of Mn2MoRu. Source: the Alexandria database, functional PBE.

Summary:
DOS at the Fermi energy = 4.89 states/eV/cell
space-group type = P2/m
uncorrected energy = -37.86 eV per formula unit

Cell lengths 2.659, 3.683, 5.398 Å; angles 90.00, 90.61, 90.00 degrees
Element x y z (fractional)
Mn1 0.004 0.000 0.240
Mn2 0.996 0.000 0.760
Mo1 0.500 0.500 0.500
Ru1 0.500 0.500 0.000

[7]
A relaxed structure of BiSb2Pb6. Source: the Alexandria database, functional PBE.

Summary:
energy relative to the lowest polymorph listed for this composition = 0.022 eV/atom
DOS at the Fermi energy = 4.44 states/eV/cell
space-group type = C2/m

Cell lengths 7.612, 7.612, 10.084 Å; angles 110.18, 110.18, 33.44 degrees
Element x y z (fractional)
Bi1 0.000 0.000 0.000
Sb1 0.383 0.383 0.326
Sb2 0.617 0.617 0.674
Pb1 0.044 0.044 0.345
Pb2 0.261 0.261 0.639
Pb3 0.338 0.338 0.000
Pb4 0.662 0.662 0.000
Pb5 0.739 0.739 0.361
Pb6 0.956 0.956 0.655

[8]
A relaxed structure of RbCaHg3. Source: the Alexandria database, functional PBE.

Summary:
energy relative to the lowest polymorph listed for this composition = 0.000 eV/atom
DOS at the Fermi energy = 7.64 states/eV/cell
space-group type = Cmcm

Cell lengths 15.591, 15.591, 5.042 Å; angles 90.00, 90.00, 164.18 degrees
Element x y z (fractional)
Rb1 0.078 0.922 0.750
Rb2 0.922 0.078 0.250
Ca1 0.209 0.791 0.250
Ca2 0.791 0.209 0.750
Hg1 0.311 0.689 0.250
Hg2 0.370 0.630 0.750
Hg3 0.472 0.528 0.750
Hg4 0.528 0.472 0.250
Hg5 0.630 0.370 0.250
Hg6 0.689 0.311 0.750